(1)
Material: Cu2SeBr6
Method: DFT, PBE
State: optimized geometry

density of states at the Fermi level	1.7	states/eV/cell
E	-2.581	eV per atom
formation energy from raw total energies	-0.168	eV/atom
total magnetic moment	0.00	μB per formula unit
space-group type	C2/c

a b c (Å): 7.5484 10.4599 10.4598
angles (deg): 71.76 64.82 64.82
Closest atoms and distances in Å follow each position.
Sites, in units of the cell vectors:
Cu (0.3636, 0.4456, 0.6260)  3 Br 2.35-2.46, 1 Cu 2.57
Cu (0.1364, 0.3740, 0.5544)  3 Br 2.35-2.46, 1 Cu 2.57
Cu (0.6364, 0.5544, 0.3740)  3 Br 2.35-2.46, 1 Cu 2.57
Cu (0.8636, 0.6260, 0.4456)  3 Br 2.35-2.46, 1 Cu 2.57
Se (0.2500, 0.0833, 0.9167)  4 Br 2.58-2.59
Se (0.7500, 0.9167, 0.0833)  4 Br 2.58-2.59
Br (0.4728, 0.6368, 0.6064)  3 Cu 2.39-2.68
Br (0.0272, 0.3936, 0.3632)  3 Cu 2.39-2.68
Br (0.5272, 0.3632, 0.3936)  3 Cu 2.39-2.68
Br (0.9728, 0.6064, 0.6368)  3 Cu 2.39-2.68
Br (0.7877, 0.8650, 0.3298)  1 Cu 2.35, 1 Se 2.58
Br (0.7123, 0.6702, 0.1350)  1 Cu 2.35, 1 Se 2.58
Br (0.2123, 0.1350, 0.6702)  1 Cu 2.35, 1 Se 2.58
Br (0.2877, 0.3298, 0.8650)  1 Cu 2.35, 1 Se 2.58
Br (0.1502, 0.8162, 0.9636)  1 Se 2.59
Br (0.3498, 0.0364, 0.1838)  1 Se 2.59
Br (0.8498, 0.1838, 0.0364)  1 Se 2.59
Br (0.6502, 0.9636, 0.8162)  1 Se 2.59


(2)
Material: CuSe2Br
Method: DFT, PBE
State: optimized geometry

ΔE to the lowest computed polymorph	143	meV/atom
density of states at the Fermi level	1.5	states/eV/cell
E	-3.251	eV per atom
formation energy from raw total energies	-0.067	eV/atom
total magnetic moment	0.00	μB per formula unit
space-group type	Cm

a b c (Å): 4.5131 4.5131 7.5566
angles (deg): 76.36 76.36 46.21
Closest atoms and distances in Å follow each position.
Sites, in units of the cell vectors:
Br (0.5922, 0.5922, 0.4208)  2 Cu 2.43
Cu (0.2508, 0.2508, 0.2337)  2 Br 2.43, 2 Se 2.45
Se (0.8993, 0.8993, 0.0319)  1 Se 2.26, 2 Cu 2.45
Se (0.7577, 0.7577, 0.8136)  1 Se 2.26


(3)
Material: CuSe2Br
Method: DFT, PBE
State: optimized geometry

ΔE to the lowest computed polymorph	0	meV/atom
density of states at the Fermi level	0.0	states/eV/cell
E	-3.394	eV per atom
formation energy from raw total energies	-0.209	eV/atom
total magnetic moment	0.00	μB per formula unit
space-group type	P2_1/c

a b c (Å): 4.9950 7.8867 11.9625
angles (deg): 104.17 90.00 90.00
Closest atoms and distances in Å follow each position.
Sites, in units of the cell vectors:
Cu (0.6374, 0.0672, 0.2484)  2 Se 2.39, 2 Br 2.45
Cu (0.1374, 0.4328, 0.2516)  2 Se 2.39, 2 Br 2.45
Cu (0.3626, 0.9328, 0.7516)  2 Se 2.39, 2 Br 2.45
Cu (0.8626, 0.5672, 0.7484)  2 Se 2.39, 2 Br 2.45
Se (0.0349, 0.1471, 0.8366)  1 Se 2.31, 1 Cu 2.39
Se (0.5349, 0.3529, 0.6634)  1 Se 2.31, 1 Cu 2.39
Se (0.9651, 0.8529, 0.1634)  1 Se 2.31, 1 Cu 2.39
Se (0.4651, 0.6471, 0.3366)  1 Se 2.31, 1 Cu 2.39
Se (0.8049, 0.5801, 0.1676)  1 Se 2.31, 1 Cu 2.39
Se (0.3049, 0.9199, 0.3324)  1 Se 2.31, 1 Cu 2.39
Se (0.1951, 0.4199, 0.8324)  1 Se 2.31, 1 Cu 2.39
Se (0.6951, 0.0801, 0.6676)  1 Se 2.31, 1 Cu 2.39
Br (0.6113, 0.7955, 0.8831)  2 Cu 2.45
Br (0.1113, 0.7045, 0.6169)  2 Cu 2.45
Br (0.3887, 0.2045, 0.1169)  2 Cu 2.45
Br (0.8887, 0.2955, 0.3831)  2 Cu 2.45


(4)
Material: CuSe2Br6
Method: DFT, PBE
State: optimized geometry

density of states at the Fermi level	13.6	states/eV/cell
E	-2.450	eV per atom
formation energy from raw total energies	-0.105	eV/atom
total magnetic moment	0.93	μB per formula unit
space-group type	C2/c

a b c (Å): 7.2991 10.9736 10.9736
angles (deg): 76.21 70.50 70.50
Closest atoms and distances in Å follow each position.
Sites, in units of the cell vectors:
Cu (0.2500, 0.0000, 0.0000)  4 Br 2.46
Cu (0.7500, 0.0000, 0.0000)  4 Br 2.46
Se (0.3184, 0.5479, 0.8157)  3 Br 2.33-2.59
Se (0.1816, 0.1843, 0.4521)  3 Br 2.33-2.59
Se (0.6816, 0.4521, 0.1843)  3 Br 2.33-2.59
Se (0.8184, 0.8157, 0.5479)  3 Br 2.33-2.59
Br (0.5846, 0.6657, 0.6658)  2 Se 2.58-2.59
Br (0.9154, 0.3342, 0.3343)  2 Se 2.58-2.59
Br (0.4154, 0.3343, 0.3342)  2 Se 2.58-2.59
Br (0.0846, 0.6658, 0.6657)  2 Se 2.58-2.59
Br (0.9440, 0.7840, 0.3291)  1 Se 2.33
Br (0.5560, 0.6709, 0.2160)  1 Se 2.33
Br (0.0560, 0.2160, 0.6709)  1 Se 2.33
Br (0.4440, 0.3291, 0.7840)  1 Se 2.33
Br (0.1017, 0.8661, 0.9313)  2 Cu 2.46
Br (0.3983, 0.0687, 0.1339)  2 Cu 2.46
Br (0.8983, 0.1339, 0.0687)  2 Cu 2.46
Br (0.6017, 0.9313, 0.8661)  2 Cu 2.46